1.
DFT (GGA-PBEsol) results for a relaxed structure of CoRh2Pb.

```
data_CoRh2Pb
_cell_length_a 4.5511
_cell_length_b 4.5511
_cell_length_c 2.9763
_cell_angle_alpha 90.00
_cell_angle_beta 90.00
_cell_angle_gamma 102.42
_space_group_name_H-M_alt 'P 1'
_space_group_IT_number 1
loop_
_space_group_symop_operation_xyz
'x,y,z'
loop_
_atom_site_label
_atom_site_type_symbol
_atom_site_fract_x
_atom_site_fract_y
_atom_site_fract_z
Co1 Co 0.0000 0.0000 0.0000
Rh1 Rh 0.0000 0.5000 0.5000
Rh2 Rh 0.5000 0.0000 0.5000
Pb1 Pb 0.5000 0.5000 0.0000
```

Values from the calculation:
Size of the total moment (μB/f.u.): 2.29
Formation energy from the elements (meV per atom): 271

2.
DFT (GGA-PBEsol) results for a relaxed structure of CoRuPb.

```
data_CoRuPb
_cell_length_a 4.9475
_cell_length_b 4.9475
_cell_length_c 4.9475
_cell_angle_alpha 144.69
_cell_angle_beta 137.42
_cell_angle_gamma 56.47
_space_group_name_H-M_alt 'P 1'
_space_group_IT_number 1
loop_
_space_group_symop_operation_xyz
'x,y,z'
loop_
_atom_site_label
_atom_site_type_symbol
_atom_site_fract_x
_atom_site_fract_y
_atom_site_fract_z
Co1 Co 0.0000 0.0000 0.0000
Ru1 Ru 0.3654 0.3654 0.0000
Pb1 Pb 0.6807 0.6807 0.0000
```

Values from the calculation:
Size of the total moment (μB/f.u.): 2.48
Formation energy from the elements (meV per atom): 612

3.
DFT (GGA-PBEsol) results for a relaxed structure of CoPb3S.

```
data_CoPb3S
_cell_length_a 4.9526
_cell_length_b 4.9526
_cell_length_c 4.9526
_cell_angle_alpha 90.00
_cell_angle_beta 90.00
_cell_angle_gamma 90.00
_space_group_name_H-M_alt 'P 1'
_space_group_IT_number 1
loop_
_space_group_symop_operation_xyz
'x,y,z'
loop_
_atom_site_label
_atom_site_type_symbol
_atom_site_fract_x
_atom_site_fract_y
_atom_site_fract_z
Co1 Co 0.0000 0.0000 0.0000
Pb1 Pb 0.0000 0.0000 0.5000
Pb2 Pb 0.0000 0.5000 0.0000
Pb3 Pb 0.5000 0.0000 0.0000
S1 S 0.5000 0.5000 0.5000
```

Values from the calculation:
Formation energy without anion corrections (eV/atom): 0.0885
Size of the total moment (μB/f.u.): 0.00

4.
DFT (GGA-PBEsol) results for a relaxed structure of YCoPbS2.

```
data_YCoPbS2
_cell_length_a 5.0339
_cell_length_b 5.0339
_cell_length_c 6.0074
_cell_angle_alpha 90.00
_cell_angle_beta 90.00
_cell_angle_gamma 90.00
_space_group_name_H-M_alt 'P 1'
_space_group_IT_number 1
loop_
_space_group_symop_operation_xyz
'x,y,z'
loop_
_atom_site_label
_atom_site_type_symbol
_atom_site_fract_x
_atom_site_fract_y
_atom_site_fract_z
Y1 Y 0.0000 0.0000 0.0000
Co1 Co 0.5000 0.5000 0.5000
Pb1 Pb 0.0000 0.0000 0.5000
S1 S 0.0000 0.5000 0.0000
S2 S 0.5000 0.0000 0.0000
```

Values from the calculation:
Formation energy without anion corrections (eV/atom): 0.5586
Size of the total moment (μB/f.u.): 2.74

5.
DFT (GGA-PBEsol) results for a relaxed structure of CoSb3Pb.

```
data_CoSb3Pb
_cell_length_a 4.9660
_cell_length_b 4.9660
_cell_length_c 4.9660
_cell_angle_alpha 90.00
_cell_angle_beta 90.00
_cell_angle_gamma 90.00
_space_group_name_H-M_alt 'P 1'
_space_group_IT_number 1
loop_
_space_group_symop_operation_xyz
'x,y,z'
loop_
_atom_site_label
_atom_site_type_symbol
_atom_site_fract_x
_atom_site_fract_y
_atom_site_fract_z
Co1 Co 0.0000 0.0000 0.0000
Sb1 Sb 0.0000 0.0000 0.5000
Sb2 Sb 0.0000 0.5000 0.0000
Sb3 Sb 0.5000 0.0000 0.0000
Pb1 Pb 0.5000 0.5000 0.5000
```

Values from the calculation:
Formation energy without anion corrections (eV/atom): 0.2655
Size of the total moment (μB/f.u.): 0.04

6.
DFT (GGA-PBEsol) results for a relaxed structure of Co2SbPb.

```
data_Co2SbPb
_cell_length_a 4.5278
_cell_length_b 4.5278
_cell_length_c 3.2024
_cell_angle_alpha 90.00
_cell_angle_beta 90.00
_cell_angle_gamma 90.00
_space_group_name_H-M_alt 'P 1'
_space_group_IT_number 1
loop_
_space_group_symop_operation_xyz
'x,y,z'
loop_
_atom_site_label
_atom_site_type_symbol
_atom_site_fract_x
_atom_site_fract_y
_atom_site_fract_z
Co1 Co 0.0000 0.5000 0.0000
Co2 Co 0.5000 0.0000 0.0000
Sb1 Sb 0.0000 0.0000 0.5000
Pb1 Pb 0.5000 0.5000 0.5000
```

Values from the calculation:
Formation energy without anion corrections (eV/atom): 0.4245
Size of the total moment (μB/f.u.): 1.71

7.
DFT (GGA-PBEsol) results for a relaxed structure of Co2SbPb.

```
data_Co2SbPb
_cell_length_a 3.5629
_cell_length_b 3.5629
_cell_length_c 5.2296
_cell_angle_alpha 90.00
_cell_angle_beta 90.00
_cell_angle_gamma 90.00
_space_group_name_H-M_alt 'P 1'
_space_group_IT_number 1
loop_
_space_group_symop_operation_xyz
'x,y,z'
loop_
_atom_site_label
_atom_site_type_symbol
_atom_site_fract_x
_atom_site_fract_y
_atom_site_fract_z
Co1 Co 0.0000 0.0000 0.0000
Co2 Co 0.5000 0.5000 0.3460
Sb1 Sb 0.5000 0.5000 0.8713
Pb1 Pb 0.0000 0.0000 0.4886
```

Values from the calculation:
Formation energy without anion corrections (eV/atom): 0.3071
Size of the total moment (μB/f.u.): 0.08

8.
DFT (GGA-PBEsol) results for a relaxed structure of ScCoPb2.

```
data_ScCoPb2
_cell_length_a 3.3896
_cell_length_b 4.2696
_cell_length_c 5.8186
_cell_angle_alpha 90.00
_cell_angle_beta 98.54
_cell_angle_gamma 90.00
_space_group_name_H-M_alt 'P 1'
_space_group_IT_number 1
loop_
_space_group_symop_operation_xyz
'x,y,z'
loop_
_atom_site_label
_atom_site_type_symbol
_atom_site_fract_x
_atom_site_fract_y
_atom_site_fract_z
Sc1 Sc 0.0000 0.0000 0.0000
Co1 Co 0.5000 0.0000 0.5000
Pb1 Pb 0.3332 0.5000 0.7332
Pb2 Pb 0.6668 0.5000 0.2668
```

Values from the calculation:
Size of the total moment (μB/f.u.): 0.77
Formation energy from the elements (meV per atom): 104

9.
DFT (GGA-PBEsol) results for a relaxed structure of ScCo2Pb.

```
data_ScCo2Pb
_cell_length_a 3.2038
_cell_length_b 3.2038
_cell_length_c 6.0303
_cell_angle_alpha 90.00
_cell_angle_beta 90.00
_cell_angle_gamma 90.00
_space_group_name_H-M_alt 'P 1'
_space_group_IT_number 1
loop_
_space_group_symop_operation_xyz
'x,y,z'
loop_
_atom_site_label
_atom_site_type_symbol
_atom_site_fract_x
_atom_site_fract_y
_atom_site_fract_z
Sc1 Sc 0.0000 0.0000 0.0000
Co1 Co 0.5000 0.5000 0.2422
Co2 Co 0.5000 0.5000 0.7578
Pb1 Pb 0.0000 0.0000 0.5000
```

Values from the calculation:
Size of the total moment (μB/f.u.): 1.18
Formation energy from the elements (meV per atom): 28

10.
DFT (GGA-PBEsol) results for a relaxed structure of ScCoPb.

```
data_ScCoPb
_cell_length_a 3.2721
_cell_length_b 3.2721
_cell_length_c 6.2166
_cell_angle_alpha 90.00
_cell_angle_beta 90.00
_cell_angle_gamma 120.00
_space_group_name_H-M_alt 'P 1'
_space_group_IT_number 1
loop_
_space_group_symop_operation_xyz
'x,y,z'
loop_
_atom_site_label
_atom_site_type_symbol
_atom_site_fract_x
_atom_site_fract_y
_atom_site_fract_z
Sc1 Sc 0.0000 0.0000 0.0000
Co1 Co 0.6667 0.3333 0.7281
Pb1 Pb 0.3333 0.6667 0.4168
```

Values from the calculation:
Size of the total moment (μB/f.u.): 0.00
Formation energy from the elements (meV per atom): 123

11.
DFT (GGA-PBEsol) results for a relaxed structure of ScCo2Pb.

```
data_ScCo2Pb
_cell_length_a 3.1526
_cell_length_b 3.6643
_cell_length_c 5.4469
_cell_angle_alpha 90.00
_cell_angle_beta 90.00
_cell_angle_gamma 90.00
_space_group_name_H-M_alt 'P 1'
_space_group_IT_number 1
loop_
_space_group_symop_operation_xyz
'x,y,z'
loop_
_atom_site_label
_atom_site_type_symbol
_atom_site_fract_x
_atom_site_fract_y
_atom_site_fract_z
Sc1 Sc 0.0000 0.0000 0.0000
Co1 Co 0.0000 0.0000 0.4408
Co2 Co 0.5000 0.5000 0.1832
Pb1 Pb 0.5000 0.5000 0.6583
```

Values from the calculation:
Size of the total moment (μB/f.u.): 1.05
Formation energy from the elements (meV per atom): 137

12.
DFT (GGA-PBEsol) results for a relaxed structure of CoPbSe.

```
data_CoPbSe
_cell_length_a 4.3490
_cell_length_b 4.3490
_cell_length_c 4.3490
_cell_angle_alpha 60.00
_cell_angle_beta 60.00
_cell_angle_gamma 60.00
_space_group_name_H-M_alt 'P 1'
_space_group_IT_number 1
loop_
_space_group_symop_operation_xyz
'x,y,z'
loop_
_atom_site_label
_atom_site_type_symbol
_atom_site_fract_x
_atom_site_fract_y
_atom_site_fract_z
Co1 Co 0.0000 0.0000 0.0000
Pb1 Pb 0.2500 0.2500 0.2500
Se1 Se 0.7500 0.7500 0.7500
```

Values from the calculation:
Formation energy without anion corrections (eV/atom): 0.1451
Size of the total moment (μB/f.u.): 0.23
Energy above the most stable polymorph in this dataset (eV per atom): 0.2080

13.
DFT (GGA-PBEsol) results for a relaxed structure of CoPbSe.

```
data_CoPbSe
_cell_length_a 3.7413
_cell_length_b 3.7413
_cell_length_c 5.1901
_cell_angle_alpha 90.00
_cell_angle_beta 90.00
_cell_angle_gamma 120.00
_space_group_name_H-M_alt 'P 1'
_space_group_IT_number 1
loop_
_space_group_symop_operation_xyz
'x,y,z'
loop_
_atom_site_label
_atom_site_type_symbol
_atom_site_fract_x
_atom_site_fract_y
_atom_site_fract_z
Co1 Co 0.0000 0.0000 0.0000
Pb1 Pb 0.3333 0.6667 0.6398
Se1 Se 0.6667 0.3333 0.1065
```

Values from the calculation:
Formation energy without anion corrections (eV/atom): -0.0629
Size of the total moment (μB/f.u.): 0.00
Energy above the most stable polymorph in this dataset (eV per atom): 0.0000

14.
DFT (GGA-PBEsol) results for a relaxed structure of CoSiPb2.

```
data_CoSiPb2
_cell_length_a 7.0014
_cell_length_b 7.0014
_cell_length_c 7.0014
_cell_angle_alpha 32.11
_cell_angle_beta 32.11
_cell_angle_gamma 32.11
_space_group_name_H-M_alt 'P 1'
_space_group_IT_number 1
loop_
_space_group_symop_operation_xyz
'x,y,z'
loop_
_atom_site_label
_atom_site_type_symbol
_atom_site_fract_x
_atom_site_fract_y
_atom_site_fract_z
Co1 Co 0.0000 0.0000 0.0000
Si1 Si 0.6667 0.6667 0.6667
Pb1 Pb 0.2382 0.2382 0.2382
Pb2 Pb 0.4283 0.4283 0.4283
```

Values from the calculation:
Formation energy without anion corrections (eV/atom): -0.0425
Size of the total moment (μB/f.u.): 0.00

15.
DFT (GGA-PBEsol) results for a relaxed structure of CoSiTePb2.

```
data_CoSiTePb2
_cell_length_a 5.4653
_cell_length_b 5.4653
_cell_length_c 4.3098
_cell_angle_alpha 90.00
_cell_angle_beta 90.00
_cell_angle_gamma 90.00
_space_group_name_H-M_alt 'P 1'
_space_group_IT_number 1
loop_
_space_group_symop_operation_xyz
'x,y,z'
loop_
_atom_site_label
_atom_site_type_symbol
_atom_site_fract_x
_atom_site_fract_y
_atom_site_fract_z
Co1 Co 0.0000 0.0000 0.0000
Si1 Si 0.0000 0.0000 0.5000
Te1 Te 0.5000 0.5000 0.0000
Pb1 Pb 0.0000 0.5000 0.5000
Pb2 Pb 0.5000 0.0000 0.5000
```

Values from the calculation:
Formation energy without anion corrections (eV/atom): 0.4783
Size of the total moment (μB/f.u.): 1.45

Number 1: uncorrected energy -6.7323 eV per atom, volume 15.1 A^3/atom. Number 2: uncorrected energy -6.6905 eV per atom, volume 15.7 A^3/atom. Number 3: uncorrected energy -4.7349 eV per atom, volume 24.3 A^3/atom. Number 4: uncorrected energy -4.9066 eV per atom, volume 30.4 A^3/atom. Number 5: uncorrected energy -4.8161 eV per atom, volume 24.5 A^3/atom. Number 6: uncorrected energy -5.5830 eV per atom, volume 16.4 A^3/atom. Number 7: uncorrected energy -5.7005 eV per atom, volume 16.6 A^3/atom. Number 8: uncorrected energy -5.4813 eV per atom, volume 20.8 A^3/atom. Number 9: uncorrected energy -6.4910 eV per atom, volume 15.5 A^3/atom. Number 10: uncorrected energy -5.9902 eV per atom, volume 19.2 A^3/atom. Number 11: uncorrected energy -6.3826 eV per atom, volume 15.7 A^3/atom. Number 12: uncorrected energy -5.0502 eV per atom, volume 19.4 A^3/atom. Number 13: uncorrected energy -5.2582 eV per atom, volume 21.0 A^3/atom. Number 14: uncorrected energy -5.4128 eV per atom, volume 21.6 A^3/atom. Number 15: uncorrected energy -4.5231 eV per atom, volume 25.7 A^3/atom.